# Tb3Pm2Pt4, relaxed, DFT PBE
# Raw total energy = -6.420 eV/atom
# Formation enthalpy at 0 K = -110 kJ per mole of atoms
# Size of the total moment = 0.000 μB/atom
# DOS(E_F) = 11.27 states/eV per cell
data_Tb3Pm2Pt4
_chemical_formula_sum 'Tb6 Pm4 Pt8'
_space_group_name_H-M_alt 'P 1 21/c 1'
_space_group_IT_number 14
_cell_length_a 7.651
_cell_length_b 7.690
_cell_length_c 7.835
_cell_angle_alpha 90.00
_cell_angle_beta 109.14
_cell_angle_gamma 90.00
loop_
_space_group_symop_operation_xyz
'x,y,z'
'-x,-y,-z'
'-x,y+1/2,-z+1/2'
'x,-y+1/2,z+1/2'
loop_
_atom_site_label
_atom_site_fract_x
_atom_site_fract_y
_atom_site_fract_z
_atom_site_occupancy
Tb1 0.000 0.000 0.000 1
Tb2 0.256 0.165 0.751 1
Pm1 0.302 0.679 0.916 1
Pt1 0.004 0.634 0.128 1
Pt2 0.409 0.036 0.138 1